Entry 1:
KCdPS2, single point on PBEsol structure, DFT SCAN; crystal system = tetragonal; final energy = -13.508 eV per atom
1.0
-2.1296 4.3465 -0.9901
0.4027 -0.9399 -4.9922
-4.5804 -2.2326 0.0509
P S K Cd
1 2 1 1
Cartesian
-1.0648 2.1732 -0.4950
0.2013 -0.4699 -2.4961
-2.2902 -1.1163 0.0254
-3.1537 0.5870 -2.9657
0.0000 0.0000 0.0000

***

Entry 2:
Sc2FeNiPb, single point on PBEsol structure, DFT SCAN; crystal system = tetragonal; final energy = -27.478 eV per atom
1.0
-0.4593 4.6758 -0.5355
-4.1915 -0.1596 2.2017
2.1590 0.6885 4.1601
Fe Sc Ni Pb
1 2 1 1
Cartesian
-1.2459 2.6023 2.9132
-2.0957 -0.0798 1.1009
1.0795 0.3442 2.0800
0.0000 0.0000 0.0000
-0.2296 2.3379 -0.2677

***

Entry 3:
MgRe, single point on PBEsol structure, DFT SCAN; crystal system = trigonal; energy relative to the lowest polymorph listed for this composition = 292 meV/atom
1.0
-1.5652 1.9463 1.2124
-2.1334 -0.7413 1.6146
1.6125 0.3598 4.6828
Mg Re
1 1
Cartesian
-1.0431 0.7824 3.7549
0.0000 0.0000 0.0000